Computed, not measured: Cs2Cu2MoO6 after structural relaxation at the GGA+U level of DFT.

Summary:
Total DFT energy (no corrections) ... -5.46 eV per atom

a = 5.9350 Å, b = 5.9350 Å, c = 18.8670 Å
α = 90.00°, β = 90.00°, γ = 120.00°
Space group R-3m (No. 166, hexagonal axes)
Asymmetric unit:
Cs1 0.0000 0.0000 0.2137 [6 per cell]
Cu1 0.0000 0.0000 0.3931 [6 per cell]
Mo1 0.0000 0.0000 0.0000 [3 per cell]
O1 0.0270 0.5135 0.7283 [18 per cell]